# 1
A relaxed structure of Sc2ReSi. Source: Alexandria, functional PBE.

Computed properties:
* space group: R-3m, No. 166
* uncorrected formation energy: 102 kJ/mol of formula units

Structure (POSCAR):
```
Sc2ReSi
1.0
1.687 0.000 9.678
-0.843 1.461 9.678
-0.843 -1.461 9.678
Si Sc Re
1 2 1
Direct
0.500 0.500 0.500 Si
0.910 0.910 0.910 Sc
0.090 0.090 0.090 Sc
0.000 0.000 0.000 Re
```

***

# 2
A relaxed structure of RbCaZn2Rh. Source: Alexandria, functional PBE.

Computed properties:
* space group: P4/mmm, No. 123
* energy of formation from the pure elements: -10 kJ per mole of atoms

Structure (POSCAR):
```
RbCaZn2Rh
1.0
-2.275 -2.502 3.836
1.338 -4.460 -2.115
4.484 0.064 2.702
Rh Ca Zn Rb
1 1 2 1
Direct
0.000 0.000 0.000 Rh
0.000 0.000 0.500 Ca
0.500 0.000 0.000 Zn
0.000 0.500 0.000 Zn
0.500 0.500 0.500 Rb
```

***

# 3
A relaxed structure of CuBAuN2. Source: Alexandria, functional PBE.

Computed properties:
* space group: P4/mmm, No. 123
* uncorrected formation energy: 1175 kJ/mol of formula units

Structure (POSCAR):
```
CuBAuN2
1.0
-2.438 2.642 -2.161
-3.330 -1.577 1.828
0.346 2.833 3.074
N Cu B Au
2 1 1 1
Direct
0.500 0.000 0.000 N
0.000 0.000 0.500 N
0.500 0.500 0.500 Cu
0.000 0.500 0.000 B
0.000 0.000 0.000 Au
```

***

# 4
A relaxed structure of CaCo2W. Source: Alexandria, functional PBE.

Computed properties:
* space group: P4mm, No. 99
* energy of formation from the pure elements: 48 kJ per mole of atoms
* E above lowest polymorph: 0.303 eV/atom

Structure (POSCAR):
```
CaCo2W
1.0
-1.166 0.731 2.452
0.449 -2.594 0.987
7.187 2.286 2.736
Co Ca W
2 1 1
Direct
0.000 0.000 0.057 Co
0.500 0.500 0.221 Co
0.500 0.500 0.776 Ca
0.000 0.000 0.445 W
```

***

# 5
A relaxed structure of CaPr6NdTm2. Source: Alexandria, functional PBE.

Computed properties:
* space group: C2/c, No. 15
* energy of formation from the pure elements: 12 kJ per mole of atoms

Structure (POSCAR):
```
CaPr6NdTm2
1.0
1.004 -9.666 -1.588
4.746 -0.211 7.741
-9.051 -0.470 0.593
Pr Tm Nd Ca
12 4 2 2
Direct
0.880 0.294 0.507 Pr
0.120 0.706 0.493 Pr
0.679 0.018 0.553 Pr
0.447 0.246 0.882 Pr
0.053 0.118 0.754 Pr
0.321 0.982 0.447 Pr
0.620 0.493 0.706 Pr
0.553 0.754 0.118 Pr
0.179 0.553 0.018 Pr
0.821 0.447 0.982 Pr
0.380 0.507 0.294 Pr
0.947 0.882 0.246 Pr
0.454 0.803 0.699 Tm
0.046 0.301 0.197 Tm
0.546 0.197 0.301 Tm
0.954 0.699 0.803 Tm
0.750 0.593 0.407 Nd
0.250 0.407 0.593 Nd
0.750 0.029 0.971 Ca
0.250 0.971 0.029 Ca
```

***

# 6
A relaxed structure of Tb4CuBi2. Source: Alexandria, functional PBE.

Computed properties:
* space group: C2/m, No. 12
* energy of formation from the pure elements: -46 kJ per mole of atoms

Structure (POSCAR):
```
Tb4CuBi2
1.0
4.406 0.000 0.000
0.000 8.738 -1.090
-2.203 -5.236 5.886
Tb Bi Cu
4 2 1
Direct
0.072 0.788 0.144 Tb
0.340 0.733 0.680 Tb
0.660 0.267 0.320 Tb
0.928 0.212 0.856 Tb
0.340 0.348 0.679 Bi
0.660 0.652 0.321 Bi
0.000 0.000 0.000 Cu
```

***

Volume values, unit Å³ per atom, following the record order: 17.9; 27.4; 14.5; 15.9; 35.7; 28.8.